Entry 1:
Entry from Alexandria via LeMat-Bulk: crystalline GdNiSnRu at its relaxed geometry (PBE-GGA).

Lattice parameters (Å, degrees): 6.607 6.607 6.607 90.00 90.00 90.00
Space group F-43m (No. 216)
Symmetry-distinct sites (fractional):
Gd: 0.000 0.000 0.000 (multiplicity 4)
Ni: 0.250 0.250 0.250 (multiplicity 4)
Sn: 0.000 0.000 0.500 (multiplicity 4)
Ru: 0.250 0.250 0.750 (multiplicity 4)

- Fermi-level density of states (states/eV per cell) = 13.8
- total energy (eV per atom) = -8.6100


Entry 2:
Entry from Alexandria via LeMat-Bulk: crystalline GdThNiRu at its relaxed geometry (PBE-GGA).

Lattice parameters (Å, degrees): 6.960 6.960 6.960 90.00 90.00 90.00
Space group F-43m (No. 216)
Symmetry-distinct sites (fractional):
Gd: 0.000 0.000 0.000 (multiplicity 4)
Th: 0.000 0.000 0.500 (multiplicity 4)
Ni: 0.250 0.250 0.750 (multiplicity 4)
Ru: 0.250 0.250 0.250 (multiplicity 4)

- Fermi-level density of states (states/eV per cell) = 13.1
- total energy (eV per atom) = -9.4865


Entry 3:
Entry from Alexandria via LeMat-Bulk: crystalline GdZnNiRu at its relaxed geometry (PBE-GGA).

Lattice parameters (Å, degrees): 6.402 6.402 6.402 90.00 90.00 90.00
Space group F-43m (No. 216)
Symmetry-distinct sites (fractional):
Gd: 0.000 0.000 0.000 (multiplicity 4)
Zn: 0.000 0.000 0.500 (multiplicity 4)
Ni: 0.250 0.250 0.250 (multiplicity 4)
Ru: 0.250 0.250 0.750 (multiplicity 4)

- Fermi-level density of states (states/eV per cell) = 10.8
- total energy (eV per atom) = -7.7331


Entry 4:
Entry from Alexandria via LeMat-Bulk: crystalline GdNiS2 at its relaxed geometry (PBE-GGA).

Lattice parameters (Å, degrees): 3.5137 3.5137 23.1222 90.00 90.00 120.00
Space group R-3m (No. 166, hexagonal axes)
Symmetry-distinct sites (fractional):
Gd: 0.0000 0.0000 0.0000 (multiplicity 3)
Ni: 0.0000 0.0000 0.5000 (multiplicity 3)
S: 0.0000 0.0000 0.1164 (multiplicity 6)

- E_form (uncorrected) (eV/atom) = -0.4137
- Fermi-level density of states (states/eV per cell) = 11.5
- total energy (eV per atom) = -7.4430


Entry 5:
Entry from Alexandria via LeMat-Bulk: crystalline Gd3Ni5S12 at its relaxed geometry (PBE-GGA).

Lattice parameters (Å, degrees): 14.484 14.484 14.484 90.00 90.00 90.00
Space group Ia-3d (No. 230)
Symmetry-distinct sites (fractional):
Gd: 0.000 0.250 0.125 (multiplicity 24)
Ni: 0.000 0.000 0.000 (multiplicity 16)
Ni: 0.000 0.250 0.375 (multiplicity 24)
S: 0.030 0.054 0.646 (multiplicity 96)

- E_form (uncorrected) (eV/atom) = -0.8375
- Fermi-level density of states (states/eV per cell) = 140.6
- total energy (eV per atom) = -6.8714


Entry 6:
Entry from Alexandria via LeMat-Bulk: crystalline GdNi2Sb2 at its relaxed geometry (PBE-GGA).

Lattice parameters (Å, degrees): 4.327 4.327 10.683 90.00 90.00 90.00
Space group I4/mmm (No. 139)
Symmetry-distinct sites (fractional):
Gd: 0.000 0.000 0.000 (multiplicity 2)
Ni: 0.000 0.500 0.250 (multiplicity 4)
Sb: 0.000 0.000 0.366 (multiplicity 4)

- E_form (uncorrected) (eV/atom) = -0.5454
- Fermi-level density of states (states/eV per cell) = 5.1
- total energy (eV per atom) = -7.3231